Entry from Alexandria via LeMat-Bulk: a geometry-optimized Sm4Se2S3 structure (PBE-GGA).

POSCAR file:
```
Sm4Se2S3
1.0
-6.352 1.599 4.221
-4.294 -1.512 -5.889
2.785 -7.966 0.015
Se S Sm
4 6 8
Direct
0.605 0.916 0.210
0.895 0.416 0.790
0.395 0.084 0.790
0.105 0.584 0.210
0.000 0.000 0.000
0.459 0.250 0.418
0.041 0.750 0.582
0.541 0.750 0.582
0.500 0.500 0.000
0.959 0.250 0.418
0.726 0.750 0.951
0.200 0.959 0.400
0.274 0.250 0.049
0.300 0.459 0.600
0.800 0.041 0.600
0.226 0.750 0.951
0.774 0.250 0.049
0.700 0.541 0.400
```

Computed properties:
Formation energy from raw total energies ... -43.4 kcal/mol of atoms
Space group ... Cmce, No. 64
Total DFT energy (no corrections) ... -110.358 eV/cell